[1]
Material: Li2Zn4Ga
Method: DFT, PBE-GGA
State: optimized geometry

POSCAR file:
```
Li2Zn4Ga
1.0
8.748 0.000 0.000
0.000 3.975 -3.067
0.000 -0.666 6.808
Li Zn Ga
4 8 2
direct
0.000 0.729 0.254
0.000 0.271 0.746
0.500 0.771 0.746
0.500 0.229 0.254
0.750 0.749 0.999
0.829 0.499 0.499
0.671 0.999 0.499
0.750 0.249 0.999
0.250 0.751 0.001
0.329 0.001 0.501
0.171 0.501 0.501
0.250 0.251 0.001
0.000 0.000 0.000
0.500 0.500 0.000
```

Computed properties:
Its space-group type is No. 14. The raw total energy comes out at -25.22 eV for the cell shown. As for the formation energy: -0.7 eV/f.u. The total magnetic moment comes out at 0.00 μB/cell.



[2]
Material: LiZn3Ga5
Method: DFT, PBE-GGA
State: optimized geometry

POSCAR file:
```
LiZn3Ga5
1.0
-2.282 5.759 3.580
-5.485 3.770 -2.626
-7.530 -2.021 4.534
Li Zn Ga
2 6 10
direct
0.143 0.143 0.681
0.857 0.857 0.319
0.711 0.711 0.857
0.590 0.590 0.334
0.000 0.000 0.000
0.000 0.000 0.500
0.289 0.289 0.143
0.410 0.410 0.666
0.975 0.395 0.403
0.329 0.671 0.000
0.780 0.780 0.079
0.383 0.383 0.359
0.617 0.617 0.641
0.220 0.220 0.921
0.395 0.975 0.403
0.671 0.329 0.000
0.025 0.605 0.597
0.605 0.025 0.597
```

Computed properties:
Its space-group type is No. 12. The raw total energy comes out at -39.67 eV for the cell shown. As for the formation energy: 1.0 eV/f.u. The total magnetic moment comes out at 0.00 μB/cell.



[3]
Material: LiZn4Ga4
Method: DFT, PBE-GGA
State: optimized geometry

POSCAR file:
```
LiZn4Ga4
1.0
0.216 0.742 3.916
5.146 -2.970 2.313
3.451 5.294 0.842
Li Zn Ga
1 4 4
direct
0.000 0.000 0.000
0.000 0.661 0.339
0.000 0.339 0.661
0.661 0.339 0.339
0.339 0.661 0.661
0.332 0.336 0.000
0.668 0.664 0.000
0.668 0.000 0.664
0.332 0.000 0.336
```

Computed properties:
Its space-group type is No. 139. The raw total energy comes out at -19.50 eV for the cell shown. As for the formation energy: -0.4 eV/f.u. The total magnetic moment comes out at 0.00 μB/cell.



[4]
Material: LiZnGa4
Method: DFT, PBE-GGA
State: optimized geometry

POSCAR file:
```
LiZnGa4
1.0
5.415 0.000 0.000
2.708 4.690 0.000
2.708 1.563 4.422
Zn Ga Li
1 4 1
direct
0.000 0.000 0.000
0.625 0.625 0.125
0.625 0.125 0.625
0.625 0.625 0.625
0.125 0.625 0.625
0.250 0.250 0.250
```

Computed properties:
Its space-group type is No. 216. The raw total energy comes out at -15.41 eV for the cell shown. As for the formation energy: -0.1 eV/f.u. The total magnetic moment comes out at 0.00 μB/cell.



[5]
Material: Li2Zn4Ga5
Method: DFT, PBE-GGA
State: optimized geometry

POSCAR file:
```
Li2Zn4Ga5
1.0
5.198 0.000 0.000
2.599 6.070 -0.247
2.599 1.283 5.938
Li Zn Ga
2 4 5
direct
0.338 0.662 0.662
0.662 0.338 0.338
0.240 0.086 0.434
0.760 0.914 0.566
0.760 0.566 0.914
0.240 0.434 0.086
0.251 0.173 0.827
0.749 0.827 0.173
0.000 0.500 0.500
0.749 0.173 0.827
0.251 0.827 0.173
```

Computed properties:
Its space-group type is No. 71. The raw total energy comes out at -24.88 eV for the cell shown. As for the formation energy: -0.8 eV/f.u. The total magnetic moment comes out at 0.00 μB/cell.



[6]
Material: Li2Zn5Ga
Method: DFT, PBE-GGA
State: optimized geometry

POSCAR file:
```
Li2Zn5Ga
1.0
4.942 -0.537 -2.403
-2.881 4.661 -0.680
-0.332 0.537 5.486
Li Zn Ga
2 5 1
direct
0.500 0.222 0.722
0.500 0.722 0.222
0.500 0.722 0.722
0.000 0.222 0.722
0.000 0.722 0.222
0.500 0.222 0.222
0.000 0.722 0.722
0.000 0.222 0.222
```

Computed properties:
Its space-group type is No. 139. The raw total energy comes out at -14.49 eV for the cell shown. As for the formation energy: -1.3 eV/f.u. The total magnetic moment comes out at 0.00 μB/cell.



[7]
Material: Li5Zn2Ga2
Method: DFT, PBE-GGA
State: optimized geometry

POSCAR file:
```
Li5Zn2Ga2
1.0
-4.688 1.383 -2.445
-2.291 -6.851 0.517
0.448 4.257 7.656
Li Zn Ga
10 4 4
direct
0.241 0.291 0.832
0.409 0.709 0.168
0.741 0.041 0.832
0.909 0.959 0.168
0.165 0.342 0.180
0.985 0.658 0.820
0.665 0.338 0.180
0.485 0.662 0.820
0.826 0.003 0.500
0.326 0.997 0.500
0.488 0.170 0.335
0.153 0.830 0.665
0.988 0.665 0.335
0.653 0.335 0.665
0.322 0.000 0.000
0.822 0.500 0.000
0.075 0.379 0.500
0.575 0.621 0.500
```

Computed properties:
Its space-group type is No. 46. The raw total energy comes out at -39.34 eV for the cell shown. As for the formation energy: -1.5 eV/f.u. The total magnetic moment comes out at 0.00 μB/cell.



[8]
Material: LiZn6Ga8
Method: DFT, PBE-GGA
State: optimized geometry

POSCAR file:
```
LiZn6Ga8
1.0
7.504 0.000 0.000
3.752 6.498 0.000
3.752 2.166 5.673
Li Zn Ga
1 6 8
direct
0.000 0.000 0.000
0.405 0.053 0.819
0.947 0.277 0.181
0.277 0.595 0.181
0.723 0.405 0.819
0.053 0.723 0.819
0.595 0.947 0.181
0.567 0.211 0.345
0.789 0.123 0.655
0.123 0.433 0.655
0.663 0.663 0.012
0.337 0.337 0.988
0.877 0.567 0.345
0.211 0.877 0.345
0.433 0.789 0.655
```

Computed properties:
Its space-group type is No. 148. The raw total energy comes out at -33.27 eV for the cell shown. As for the formation energy: 0.5 eV/f.u. The total magnetic moment comes out at 0.00 μB/cell.



[9]
Material: LiZn4Ga4
Method: DFT, PBE-GGA
State: optimized geometry

POSCAR file:
```
LiZn4Ga4
1.0
4.942 0.000 0.000
2.471 5.637 0.000
2.471 0.000 5.637
Li Zn Ga
1 4 4
direct
0.000 0.000 0.000
0.708 0.686 0.898
0.292 0.314 0.102
0.606 0.102 0.686
0.394 0.898 0.314
0.653 0.412 0.282
0.347 0.588 0.718
0.935 0.718 0.412
0.065 0.282 0.588
```

Computed properties:
Its space-group type is No. 87. The raw total energy comes out at -19.12 eV for the cell shown. As for the formation energy: 0.0 eV/f.u. The total magnetic moment comes out at 0.00 μB/cell.



[10]
Material: Li3ZnGa
Method: DFT, PBE-GGA
State: optimized geometry

POSCAR file:
```
Li3ZnGa
1.0
4.704 0.000 0.000
0.000 4.704 0.000
0.000 0.000 4.704
Zn Ga Li
1 1 3
direct
0.000 0.000 0.000
0.500 0.500 0.500
0.000 0.500 0.000
0.000 0.000 0.500
0.500 0.000 0.000
```

Computed properties:
Its space-group type is No. 221. The raw total energy comes out at -9.08 eV for the cell shown. As for the formation energy: 1.0 eV/f.u. The total magnetic moment comes out at 0.00 μB/cell.



[11]
Material: Li8Zn2Ga
Method: DFT, PBE-GGA
State: optimized geometry

POSCAR file:
```
Li8Zn2Ga
1.0
4.342 0.000 -1.235
-0.117 5.243 -0.412
-0.134 0.698 7.778
Li Zn Ga
8 2 1
direct
0.590 0.455 0.181
0.318 0.099 0.636
0.138 0.178 0.276
0.049 0.745 0.098
0.862 0.822 0.724
0.682 0.901 0.364
0.410 0.545 0.819
0.951 0.255 0.902
0.230 0.623 0.461
0.770 0.377 0.539
0.500 0.000 0.000
```

Computed properties:
Its space-group type is No. 12. The raw total energy comes out at -22.55 eV for the cell shown. As for the formation energy: -1.7 eV/f.u. The total magnetic moment comes out at 0.00 μB/cell.



[12]
Material: Li4Zn2Ga3
Method: DFT, PBE-GGA
State: optimized geometry

POSCAR file:
```
Li4Zn2Ga3
1.0
-0.951 0.753 3.883
-3.413 -3.130 1.902
3.344 -7.172 2.210
Li Zn Ga
4 2 3
direct
0.663 0.673 0.890
0.003 0.994 0.331
0.997 0.006 0.669
0.337 0.327 0.110
0.324 0.351 0.769
0.676 0.649 0.231
0.338 0.325 0.445
0.000 0.000 0.000
0.662 0.675 0.555
```

Computed properties:
Its space-group type is No. 12. The raw total energy comes out at -21.27 eV for the cell shown. As for the formation energy: -2.0 eV/f.u. The total magnetic moment comes out at 0.00 μB/cell.